#A
DFT (PBE-GGA) results for a relaxed CoIrW crystal.

Cell lengths 5.877, 5.877, 2.721 Å; angles 76.62, 76.61, 26.77 degrees
Atoms (fractional coordinates):
1 Co 0.999 0.999 0.001
2 Ir 0.662 0.662 0.338
3 W 0.339 0.339 0.661

Summary:
volume	13.70	A^3/atom
space group	I4mm (107)


#B
DFT (PBE-GGA) results for a relaxed CoIrW crystal.

Cell lengths 4.107, 4.107, 4.107 Å; angles 60.00, 60.00, 60.00 degrees
Atoms (fractional coordinates):
1 Co 0.000 0.000 0.000
2 Ir 0.500 0.500 0.500
3 W 0.750 0.750 0.750

Summary:
volume	16.33	A^3/atom
space group	F-43m (216)


If we sort the structures by their calculated energies, the order from most to least stable is #A, #B.


#A
DFT (PBE-GGA) results for a relaxed CoIr3W crystal.

Cell lengths 4.383, 4.383, 4.383 Å; angles 90.00, 90.00, 90.00 degrees
Atoms (fractional coordinates):
1 Ir 0.000 0.500 0.000
2 Ir 0.000 0.000 0.500
3 Ir 0.500 0.000 0.000
4 Co 0.000 0.000 0.000
5 W 0.500 0.500 0.500

Summary:
volume	16.84	A^3/atom
space group	Pm-3m (221)


#B
DFT (PBE-GGA) results for a relaxed CoIr3W crystal.

Cell lengths 4.729, 4.729, 4.729 Å; angles 90.00, 90.00, 90.00 degrees
Atoms (fractional coordinates):
1 Ir 0.000 0.500 0.000
2 Ir 0.000 0.000 0.500
3 Ir 0.500 0.000 0.000
4 Co 0.500 0.500 0.500
5 W 0.000 0.000 0.000

Summary:
volume	21.15	A^3/atom
space group	Pm-3m (221)


If we sort the structures by their calculated energies, the order from most to least stable is #A, #B.


#A
DFT (PBE-GGA) results for a relaxed CoIr2W2 crystal.

Cell lengths 3.719, 3.719, 6.685 Å; angles 73.85, 73.85, 90.00 degrees
Atoms (fractional coordinates):
1 Ir 0.750 0.250 0.500
2 Ir 0.250 0.750 0.500
3 Co 0.000 0.000 0.000
4 W 0.398 0.398 0.204
5 W 0.602 0.602 0.796

Summary:
volume	17.00	A^3/atom
space group	I4/mmm (139)


#B
DFT (PBE-GGA) results for a relaxed CoIr2W2 crystal.

Cell lengths 3.834, 4.771, 4.719 Å; angles 81.01, 65.95, 66.24 degrees
Atoms (fractional coordinates):
1 Co 0.000 0.500 0.000
2 Ir 0.407 0.297 0.390
3 Ir 0.593 0.703 0.610
4 W 0.786 0.127 0.800
5 W 0.214 0.873 0.200

Summary:
volume	14.43	A^3/atom
space group	P-1 (2)


#C
DFT (PBE-GGA) results for a relaxed CoIr2W2 crystal.

Cell lengths 7.604, 7.604, 2.765 Å; angles 90.00, 90.00, 90.00 degrees
Atoms (fractional coordinates):
1 Ir 0.168 0.668 0.500
2 Ir 0.668 0.832 0.500
3 Ir 0.832 0.332 0.500
4 Ir 0.332 0.168 0.500
5 Co 0.000 0.000 0.000
6 Co 0.500 0.500 0.000
7 W 0.374 0.874 0.000
8 W 0.874 0.626 0.000
9 W 0.626 0.126 0.000
10 W 0.126 0.374 0.000

Summary:
volume	15.98	A^3/atom
space group	P4/mbm (127)


If we sort the structures by their calculated energies, the order from most to least stable is #B, #C, #A.


#A
DFT (PBE-GGA) results for a relaxed Co2Ir2W crystal.

Cell lengths 7.083, 7.083, 2.729 Å; angles 90.00, 90.00, 90.00 degrees
Atoms (fractional coordinates):
1 Ir 0.370 0.870 0.000
2 Ir 0.870 0.630 0.000
3 Ir 0.630 0.130 0.000
4 Ir 0.130 0.370 0.000
5 Co 0.168 0.668 0.500
6 Co 0.668 0.832 0.500
7 Co 0.832 0.332 0.500
8 Co 0.332 0.168 0.500
9 W 0.000 0.000 0.000
10 W 0.500 0.500 0.000

Summary:
volume	13.69	A^3/atom
space group	P4/mbm (127)


#B
DFT (PBE-GGA) results for a relaxed Co2Ir2W crystal.

Cell lengths 7.005, 7.005, 2.725 Å; angles 90.00, 90.00, 90.00 degrees
Atoms (fractional coordinates):
1 Ir 0.175 0.675 0.500
2 Ir 0.675 0.825 0.500
3 Ir 0.825 0.325 0.500
4 Ir 0.325 0.175 0.500
5 Co 0.379 0.879 0.000
6 Co 0.879 0.621 0.000
7 Co 0.621 0.121 0.000
8 Co 0.121 0.379 0.000
9 W 0.000 0.000 0.000
10 W 0.500 0.500 0.000

Summary:
volume	13.37	A^3/atom
space group	P4/mbm (127)


If we sort the structures by their calculated energies, the order from most to least stable is #B, #A.


#A
DFT (PBE-GGA) results for a relaxed Co2IrW2 crystal.

Cell lengths 3.081, 3.081, 7.821 Å; angles 78.64, 78.64, 90.00 degrees
Atoms (fractional coordinates):
1 Ir 0.000 0.000 0.000
2 Co 0.750 0.250 0.500
3 Co 0.250 0.750 0.500
4 W 0.383 0.383 0.234
5 W 0.617 0.617 0.766

Summary:
volume	14.26	A^3/atom
space group	I4/mmm (139)


#B
DFT (PBE-GGA) results for a relaxed Co2IrW2 crystal.

Cell lengths 7.214, 7.214, 2.700 Å; angles 90.00, 90.00, 90.00 degrees
Atoms (fractional coordinates):
1 Ir 0.000 0.000 0.000
2 Ir 0.500 0.500 0.000
3 Co 0.169 0.669 0.500
4 Co 0.669 0.831 0.500
5 Co 0.831 0.331 0.500
6 Co 0.331 0.169 0.500
7 W 0.372 0.872 0.000
8 W 0.872 0.628 0.000
9 W 0.628 0.128 0.000
10 W 0.128 0.372 0.000

Summary:
volume	14.05	A^3/atom
space group	P4/mbm (127)


#C
DFT (PBE-GGA) results for a relaxed Co2IrW2 crystal.

Cell lengths 6.881, 6.881, 2.844 Å; angles 90.00, 90.00, 90.00 degrees
Atoms (fractional coordinates):
1 Ir 0.000 0.000 0.000
2 Ir 0.500 0.500 0.000
3 Co 0.377 0.877 0.000
4 Co 0.877 0.623 0.000
5 Co 0.623 0.123 0.000
6 Co 0.123 0.377 0.000
7 W 0.175 0.675 0.500
8 W 0.675 0.825 0.500
9 W 0.825 0.325 0.500
10 W 0.325 0.175 0.500

Summary:
volume	13.47	A^3/atom
space group	P4/mbm (127)


If we sort the structures by their calculated energies, the order from most to least stable is #C, #B, #A.


#A
DFT (PBE-GGA) results for a relaxed YCo2Ir crystal.

Cell lengths 3.099, 3.099, 6.598 Å; angles 90.00, 90.00, 90.00 degrees
Atoms (fractional coordinates):
1 Co 0.000 0.000 0.066
2 Co 0.500 0.500 0.226
3 Ir 0.000 0.000 0.457
4 Y 0.500 0.500 0.751

Summary:
volume	15.84	A^3/atom
space group	P4mm (99)


#B
DFT (PBE-GGA) results for a relaxed YCo2Ir crystal.

Cell lengths 4.442, 4.442, 4.442 Å; angles 60.00, 60.00, 60.00 degrees
Atoms (fractional coordinates):
1 Y 0.000 0.000 0.000
2 Ir 0.500 0.500 0.500
3 Co 0.250 0.250 0.250
4 Co 0.750 0.750 0.750

Summary:
volume	15.49	A^3/atom
space group	Fm-3m (225)


#C
DFT (PBE-GGA) results for a relaxed YCo2Ir crystal.

Cell lengths 5.219, 5.219, 5.219 Å; angles 145.11, 128.78, 63.47 degrees
Atoms (fractional coordinates):
1 Co 0.970 0.970 0.000
2 Co 0.762 0.262 0.500
3 Ir 0.523 0.523 0.000
4 Y 0.245 0.745 0.500

Summary:
volume	15.66	A^3/atom
space group	Imm2 (44)


#D
DFT (PBE-GGA) results for a relaxed YCo2Ir crystal.

Cell lengths 4.033, 3.008, 5.409 Å; angles 73.94, 90.00, 90.00 degrees
Atoms (fractional coordinates):
1 Co 0.000 0.170 0.034
2 Co 0.500 0.061 0.255
3 Ir 0.000 0.469 0.438
4 Y 0.500 0.800 0.772

Summary:
volume	15.76	A^3/atom
space group	Pm (6)


If we sort the structures by their calculated energies, the order from most to least stable is #A, #B, #D, #C.


#A
DFT (PBE-GGA) results for a relaxed YCo2Ir crystal.

Cell lengths 3.744, 2.846, 6.513 Å; angles 64.15, 90.00, 90.00 degrees
Atoms (fractional coordinates):
1 Co 0.000 0.947 0.052
2 Co 0.000 0.553 0.448
3 Ir 0.500 0.250 0.250
4 Y 0.500 0.750 0.750

Summary:
volume	15.61	A^3/atom
space group	Pmmm (47)


#B
DFT (PBE-GGA) results for a relaxed YCo2Ir crystal.

Cell lengths 9.049, 9.049, 9.049 Å; angles 18.24, 18.24, 18.24 degrees
Atoms (fractional coordinates):
1 Co 0.991 0.991 0.991
2 Co 0.509 0.509 0.509
3 Ir 0.250 0.250 0.250
4 Y 0.750 0.750 0.750

Summary:
volume	15.86	A^3/atom
space group	R-3m (166)


#C
DFT (PBE-GGA) results for a relaxed YCo2Ir crystal.

Cell lengths 4.131, 4.131, 9.228 Å; angles 77.06, 77.06, 90.00 degrees
Atoms (fractional coordinates):
1 Y 0.500 0.500 0.000
2 Y 0.250 0.750 0.500
3 Ir 0.000 0.000 0.000
4 Ir 0.750 0.250 0.500
5 Co 0.775 0.125 0.250
6 Co 0.975 0.625 0.250
7 Co 0.375 0.225 0.750
8 Co 0.875 0.025 0.750

Summary:
volume	18.68	A^3/atom
space group	I-42d (122)


If we sort the structures by their calculated energies, the order from most to least stable is #A, #C, #B.


#A
DFT (PBE-GGA) results for a relaxed YCo2Ir crystal.

Cell lengths 4.902, 4.902, 4.902 Å; angles 132.41, 132.41, 69.59 degrees
Atoms (fractional coordinates):
1 Co 0.000 0.000 0.000
2 Co 0.250 0.750 0.500
3 Ir 0.500 0.500 0.000
4 Y 0.750 0.250 0.500

Summary:
volume	15.75	A^3/atom
space group	I-4m2 (119)


#B
DFT (PBE-GGA) results for a relaxed YCo2Ir crystal.

Cell lengths 5.360, 5.360, 5.360 Å; angles 45.82, 45.82, 45.82 degrees
Atoms (fractional coordinates):
1 Co 0.939 0.939 0.939
2 Co 0.250 0.250 0.250
3 Ir 0.558 0.558 0.558
4 Y 0.752 0.752 0.752

Summary:
volume	18.05	A^3/atom
space group	R3m (160)


If we sort the structures by their calculated energies, the order from most to least stable is #B, #A.


#A
DFT (PBE-GGA) results for a relaxed ZnCoIr crystal.

Cell lengths 5.664, 5.664, 5.664 Å; angles 152.17, 152.17, 39.77 degrees
Atoms (fractional coordinates):
1 Zn 0.662 0.662 0.000
2 Ir 0.342 0.342 0.000
3 Co 0.997 0.997 0.000

Summary:
volume	13.18	A^3/atom
space group	I4mm (107)


#B
DFT (PBE-GGA) results for a relaxed ZnCoIr crystal.

Cell lengths 2.700, 2.700, 6.319 Å; angles 90.00, 90.00, 120.00 degrees
Atoms (fractional coordinates):
1 Co 0.000 0.000 0.001
2 Ir 0.333 0.667 0.323
3 Zn 0.667 0.333 0.676

Summary:
volume	13.30	A^3/atom
space group	P3m1 (156)


If we sort the structures by their calculated energies, the order from most to least stable is #A, #B.


#A
DFT (PBE-GGA) results for a relaxed ZnCoIr crystal.

Cell lengths 3.989, 3.989, 3.989 Å; angles 60.00, 60.00, 60.00 degrees
Atoms (fractional coordinates):
1 Co 0.750 0.750 0.750
2 Ir 0.000 0.000 0.000
3 Zn 0.500 0.500 0.500

Summary:
volume	14.96	A^3/atom
space group	F-43m (216)


#B
DFT (PBE-GGA) results for a relaxed ZnCoIr crystal.

Cell lengths 4.579, 4.579, 4.579 Å; angles 145.10, 133.10, 59.77 degrees
Atoms (fractional coordinates):
1 Co 0.996 0.996 0.000
2 Ir 0.338 0.338 0.000
3 Zn 0.666 0.666 0.000

Summary:
volume	13.25	A^3/atom
space group	Imm2 (44)


If we sort the structures by their calculated energies, the order from most to least stable is #B, #A.